Entry 1:
First-principles (PBEsol) data for a geometry-optimized CaFe2Co structure, as listed in Alexandria.

a b c (Å): 3.037 4.193 4.343
angles (deg): 90.00 90.00 90.00
Atoms (fractional coordinates):
Ca (0.000, 0.000, 0.000)
Fe (0.000, 0.500, 0.500)
Fe (0.500, 0.000, 0.500)
Co (0.500, 0.500, 0.000)

## Properties
Energy in eV per atom: -6.338
Energy of formation from the pure elements in meV/atom: 612

=====

Entry 2:
First-principles (PBEsol) data for a geometry-optimized Ca2FeCo structure, as listed in Alexandria.

a b c (Å): 6.064 7.182 3.583
angles (deg): 90.00 90.00 90.00
Atoms (fractional coordinates):
Ca (0.250, 0.250, 0.000)
Ca (0.250, 0.750, 0.000)
Ca (0.750, 0.250, 0.000)
Ca (0.750, 0.750, 0.000)
Fe (0.000, 0.000, 0.500)
Fe (0.500, 0.500, 0.500)
Co (0.000, 0.500, 0.500)
Co (0.500, 0.000, 0.500)

## Properties
Energy in eV per atom: -4.560
Energy of formation from the pure elements in meV/atom: 682
Polymorph energy (0 for the lowest one) in meV per atom: 381

=====

Entry 3:
First-principles (PBEsol) data for a geometry-optimized CaFe2Co structure, as listed in Alexandria.

a b c (Å): 5.041 8.598 2.525
angles (deg): 90.00 90.00 90.00
Atoms (fractional coordinates):
Ca (0.000, 0.000, 0.000)
Ca (0.500, 0.500, 0.000)
Fe (0.250, 0.250, 0.500)
Fe (0.250, 0.750, 0.500)
Fe (0.750, 0.250, 0.500)
Fe (0.750, 0.750, 0.500)
Co (0.000, 0.500, 0.000)
Co (0.500, 0.000, 0.000)

## Properties
Energy in eV per atom: -6.266
Energy of formation from the pure elements in meV/atom: 683

=====

Entry 4:
First-principles (PBEsol) data for a geometry-optimized CaFe2Co2 structure, as listed in Alexandria.

a b c (Å): 3.973 3.973 8.969
angles (deg): 90.00 90.00 90.00
Atoms (fractional coordinates):
Ca (0.000, 0.000, 0.000)
Ca (0.500, 0.500, 0.500)
Fe (0.000, 0.000, 0.377)
Fe (0.000, 0.000, 0.623)
Fe (0.500, 0.500, 0.123)
Fe (0.500, 0.500, 0.877)
Co (0.000, 0.500, 0.250)
Co (0.000, 0.500, 0.750)
Co (0.500, 0.000, 0.250)
Co (0.500, 0.000, 0.750)

## Properties
Energy in eV per atom: -6.823
Energy of formation from the pure elements in meV/atom: 284